Here is a relaxed VRu3C crystal from the Alexandria database. Energies are from GGA-PBE.

Computed properties:
The energy of formation comes out at 0.4 eV/f.u. Its polymorph energy (0 for the lowest one) is 0.0 meV/atom. As for the space group: Pm-3m. Its density of states at the Fermi level is 0.9080 states/eV/atom. For the volume, the calculation gives 12.9 Å³ per atom.

abc: 4.010 4.010 4.010
angles: 90.00 90.00 90.00
Sites, in units of the cell vectors:
V 0.000 0.000 0.000
Ru 0.000 0.500 0.500
Ru 0.500 0.000 0.500
Ru 0.500 0.500 0.000
C 0.500 0.500 0.500



Here is a relaxed SmY3H8 crystal from the Alexandria database. Energies are from GGA-PBE.

Computed properties:
As for the space group: I4/mmm. The final energy is -0.3638 Ry/atom. Its density of states at the Fermi level is 0.3060 states/eV/atom. For the volume, the calculation gives 12.0 Å³ per atom.

abc: 6.434 6.434 6.434
angles: 132.10 132.10 70.07
Sites, in units of the cell vectors:
Sm 0.000 0.000 0.000
Y 0.250 0.750 0.500
Y 0.500 0.500 0.000
Y 0.750 0.250 0.500
H 0.127 0.127 0.508
H 0.127 0.619 0.000
H 0.381 0.381 0.508
H 0.381 0.873 0.000
H 0.619 0.127 0.000
H 0.619 0.619 0.492
H 0.873 0.381 0.000
H 0.873 0.873 0.492



Here is a relaxed Hf2BIr crystal from the Alexandria database. Energies are from GGA-PBE.

Computed properties:
The energy of formation comes out at 0.0 eV/f.u. As for the space group: I-42d. Its density of states at the Fermi level is 0.7935 states/eV/atom. For the volume, the calculation gives 17.5 Å³ per atom.

abc: 5.672 5.672 5.672
angles: 108.83 108.83 110.77
Sites, in units of the cell vectors:
Hf 0.084 0.125 0.459
Hf 0.375 0.916 0.041
Hf 0.666 0.625 0.541
Hf 0.875 0.334 0.959
B 0.000 0.000 0.000
B 0.750 0.250 0.500
Ir 0.250 0.750 0.500
Ir 0.500 0.500 0.000



Here is a relaxed Fe2BMo crystal from the Alexandria database. Energies are from GGA-PBE.

Computed properties:
The energy of formation comes out at -1.1 eV/f.u. As for the space group: Cmcm. Its density of states at the Fermi level is 0.8739 states/eV/atom. For the volume, the calculation gives 10.5 Å³ per atom.

abc: 4.520 4.520 6.543
angles: 90.00 90.00 140.90
Sites, in units of the cell vectors:
Fe 0.145 0.855 0.556
Fe 0.145 0.855 0.944
Fe 0.855 0.145 0.056
Fe 0.855 0.145 0.444
B 0.270 0.730 0.250
B 0.730 0.270 0.750
Mo 0.440 0.560 0.750
Mo 0.560 0.440 0.250